Model P:
Here is SrHoLu2 after structural relaxation from the Alexandria database. Energies are from GGA-PBE.

Symmetry = R-3m

a = 3.5520 Å, b = 3.5520 Å, c = 12.7480 Å
α = 81.99°, β = 81.99°, γ = 60.00°
Last column: nearest neighbours and their distance in Å.
Element x y z (fractional)
Lu (0.9065, 0.9065, 0.2805)  3 Ho 3.44, 1 Sr 3.53, 6 Lu 3.55
Lu (0.0935, 0.0935, 0.7195)  3 Ho 3.44, 1 Sr 3.53, 6 Lu 3.55
Ho (0.5000, 0.5000, 0.5000)  6 Lu 3.44, 6 Ho 3.55
Sr (0.0000, 0.0000, 0.0000)  2 Lu 3.53, 6 Sr 3.55



Model Q:
Here is SrHoLu2 after structural relaxation from the Alexandria database. Energies are from GGA-PBE.

Symmetry = P4/mmm

a = 3.6290 Å, b = 3.6290 Å, c = 10.4536 Å
α = 90.00°, β = 90.00°, γ = 90.00°
Last column: nearest neighbours and their distance in Å.
Element x y z (fractional)
Lu (0.0000, 0.0000, 0.2182)  4 Ho 3.43, 4 Lu 3.63
Lu (0.0000, 0.0000, 0.7818)  4 Ho 3.43, 4 Lu 3.63
Sr (0.5000, 0.5000, 0.5000)  4 Sr 3.63, 8 Lu 3.91
Ho (0.5000, 0.5000, 0.0000)  8 Lu 3.43, 4 Ho 3.63



Which structure is most stable? model Q, by 106 meV per atom over the runner-up.



Model P:
Here is TbHoLu2 after structural relaxation from the Alexandria database. Energies are from GGA-PBE.

Symmetry = Fm-3m

a = 5.5755 Å, b = 5.5755 Å, c = 5.5755 Å
α = 60.00°, β = 60.00°, γ = 60.00°
Last column: nearest neighbours and their distance in Å.
Element x y z (fractional)
Tb (0.5000, 0.5000, 0.5000)  8 Lu 3.41
Lu (0.7500, 0.7500, 0.7500)  4 Tb 3.41, 4 Ho 3.41
Ho (0.0000, 0.0000, 0.0000)  8 Lu 3.41
Lu (0.2500, 0.2500, 0.2500)  4 Tb 3.41, 4 Ho 3.41



Model Q:
Here is TbHoLu2 after structural relaxation from the Alexandria database. Energies are from GGA-PBE.

Symmetry = R-3m

a = 3.4980 Å, b = 3.4980 Å, c = 11.5299 Å
α = 81.27°, β = 81.27°, γ = 60.00°
Last column: nearest neighbours and their distance in Å.
Element x y z (fractional)
Lu (0.7497, 0.7497, 0.7509)  3 Ho 3.48, 3 Tb 3.49, 6 Lu 3.50
Ho (0.0000, 0.0000, 0.0000)  6 Lu 3.48, 6 Ho 3.50
Lu (0.2503, 0.2503, 0.2491)  3 Ho 3.48, 3 Tb 3.49, 6 Lu 3.50
Tb (0.5000, 0.5000, 0.5000)  6 Lu 3.49, 6 Tb 3.50



Which structure is most stable? model Q, by 88 meV per atom over the runner-up.



Model P:
Here is Ho2LuTe after structural relaxation from the Alexandria database. Energies are from GGA-PBE.

Symmetry = R-3m

a = 3.8130 Å, b = 3.8130 Å, c = 10.0522 Å
α = 79.07°, β = 79.07°, γ = 60.00°
Last column: nearest neighbours and their distance in Å.
Element x y z (fractional)
Te (0.0000, 0.0000, 0.0000)  6 Ho 3.08
Ho (0.2604, 0.2604, 0.2190)  3 Te 3.08
Ho (0.7396, 0.7396, 0.7810)  3 Te 3.08
Lu (0.5000, 0.5000, 0.5000)  6 Ho 3.53, 6 Lu 3.81



Model Q:
Here is Ho2LuTe after structural relaxation from the Alexandria database. Energies are from GGA-PBE.

Symmetry = P4/mmm

a = 3.8873 Å, b = 3.8873 Å, c = 7.4806 Å
α = 90.00°, β = 90.00°, γ = 90.00°
Last column: nearest neighbours and their distance in Å.
Element x y z (fractional)
Ho (0.0000, 0.0000, 0.2328)  4 Te 3.25, 4 Lu 3.40, 1 Ho 3.48
Ho (0.0000, 0.0000, 0.7672)  4 Te 3.25, 4 Lu 3.40, 1 Ho 3.48
Te (0.5000, 0.5000, 0.0000)  8 Ho 3.25
Lu (0.5000, 0.5000, 0.5000)  8 Ho 3.40, 2 Te 3.74



Which structure is most stable? model Q, by 46 meV per atom over the runner-up.



Model P:
Here is HoLu2Te after structural relaxation from the Alexandria database. Energies are from GGA-PBE.

Symmetry = P4/mmm

a = 3.7967 Å, b = 3.7967 Å, c = 7.7869 Å
α = 90.00°, β = 90.00°, γ = 90.00°
Last column: nearest neighbours and their distance in Å.
Element x y z (fractional)
Ho (0.5000, 0.5000, 0.5000)  8 Lu 3.42, 4 Ho 3.80
Lu (0.0000, 0.0000, 0.7723)  4 Te 3.22, 4 Ho 3.42, 1 Lu 3.55
Te (0.5000, 0.5000, 0.0000)  8 Lu 3.22
Lu (0.0000, 0.0000, 0.2277)  4 Te 3.22, 4 Ho 3.42, 1 Lu 3.55



Model Q:
Here is HoLu2Te after structural relaxation from the Alexandria database. Energies are from GGA-PBE.

Symmetry = R-3m

a = 3.7016 Å, b = 3.7016 Å, c = 11.0777 Å
α = 80.38°, β = 80.38°, γ = 60.00°
Last column: nearest neighbours and their distance in Å.
Element x y z (fractional)
Lu (0.8976, 0.8976, 0.3072)  3 Te 2.99, 1 Ho 3.34
Ho (0.0000, 0.0000, 0.0000)  2 Lu 3.34, 6 Ho 3.70
Te (0.5000, 0.5000, 0.5000)  6 Lu 2.99
Lu (0.1024, 0.1024, 0.6928)  3 Te 2.99, 1 Ho 3.34



Which structure is most stable? model P, by 380 meV per atom over the runner-up.



Model P:
Here is HoLuTh2 after structural relaxation from the Alexandria database. Energies are from GGA-PBE.

Symmetry = P4/mmm

a = 4.9794 Å, b = 5.0186 Å, c = 5.0186 Å
α = 90.00°, β = 90.00°, γ = 90.00°
Last column: nearest neighbours and their distance in Å.
Element x y z (fractional)
Th (0.0000, 0.0000, 0.5000)  4 Lu 3.53, 4 Ho 3.53, 4 Th 3.55
Th (0.0000, 0.5000, 0.0000)  4 Ho 3.53, 4 Lu 3.53, 4 Th 3.55
Lu (0.5000, 0.0000, 0.0000)  8 Th 3.53, 4 Ho 3.55
Ho (0.5000, 0.5000, 0.5000)  8 Th 3.53, 4 Lu 3.55



Model Q:
Here is HoLuTh2 after structural relaxation from the Alexandria database. Energies are from GGA-PBE.

Symmetry = Fm-3m

a = 5.6139 Å, b = 5.6139 Å, c = 5.6139 Å
α = 60.00°, β = 60.00°, γ = 60.00°
Last column: nearest neighbours and their distance in Å.
Element x y z (fractional)
Ho (0.0000, 0.0000, 0.0000)  8 Th 3.44
Th (0.7500, 0.7500, 0.7500)  4 Lu 3.44, 4 Ho 3.44
Lu (0.5000, 0.5000, 0.5000)  8 Th 3.44
Th (0.2500, 0.2500, 0.2500)  4 Ho 3.44, 4 Lu 3.44



Which structure is most stable? model P, by 85 meV per atom over the runner-up.



Model P:
Here is HoLuTh2 after structural relaxation from the Alexandria database. Energies are from GGA-PBE.

Symmetry = P4/mmm

a = 3.5450 Å, b = 3.5450 Å, c = 9.9695 Å
α = 90.00°, β = 90.00°, γ = 90.00°
Last column: nearest neighbours and their distance in Å.
Element x y z (fractional)
Th (0.0000, 0.0000, 0.2476)  4 Lu 3.52, 4 Th 3.54, 4 Ho 3.55
Lu (0.5000, 0.5000, 0.0000)  8 Th 3.52, 4 Lu 3.54
Ho (0.5000, 0.5000, 0.5000)  4 Ho 3.54, 8 Th 3.55
Th (0.0000, 0.0000, 0.7524)  4 Lu 3.52, 4 Th 3.54, 4 Ho 3.55



Model Q:
Here is HoLuTh2 after structural relaxation from the Alexandria database. Energies are from GGA-PBE.

Symmetry = R-3m

a = 3.5494 Å, b = 3.5494 Å, c = 11.5937 Å
α = 81.19°, β = 81.19°, γ = 60.00°
Last column: nearest neighbours and their distance in Å.
Element x y z (fractional)
Th (0.7505, 0.7505, 0.7484)  3 Lu 3.50, 3 Ho 3.53, 6 Th 3.55
Lu (0.5000, 0.5000, 0.5000)  6 Th 3.50, 6 Lu 3.55
Th (0.2495, 0.2495, 0.2516)  3 Lu 3.50, 3 Ho 3.53, 6 Th 3.55
Ho (0.0000, 0.0000, 0.0000)  6 Th 3.53, 6 Ho 3.55



Which structure is most stable? model Q, by 6 meV per atom over the runner-up.



Model P:
Here is HoLu2Th after structural relaxation from the Alexandria database. Energies are from GGA-PBE.

Symmetry = P4/mmm

a = 4.9174 Å, b = 4.9823 Å, c = 4.9823 Å
α = 90.00°, β = 90.00°, γ = 90.00°
Last column: nearest neighbours and their distance in Å.
Element x y z (fractional)
Th (0.5000, 0.0000, 0.0000)  8 Lu 3.50, 4 Ho 3.52
Ho (0.5000, 0.5000, 0.5000)  8 Lu 3.50, 4 Th 3.52
Lu (0.0000, 0.0000, 0.5000)  4 Th 3.50, 4 Ho 3.50, 4 Lu 3.52
Lu (0.0000, 0.5000, 0.0000)  4 Ho 3.50, 4 Th 3.50, 4 Lu 3.52



Model Q:
Here is HoLu2Th after structural relaxation from the Alexandria database. Energies are from GGA-PBE.

Symmetry = P4/mmm

a = 3.5161 Å, b = 3.5161 Å, c = 9.9244 Å
α = 90.00°, β = 90.00°, γ = 90.00°
Last column: nearest neighbours and their distance in Å.
Element x y z (fractional)
Ho (0.5000, 0.5000, 0.5000)  4 Ho 3.52, 8 Lu 3.53
Lu (0.0000, 0.0000, 0.2474)  4 Th 3.49, 4 Lu 3.52, 4 Ho 3.53
Th (0.5000, 0.5000, 0.0000)  8 Lu 3.49, 4 Th 3.52
Lu (0.0000, 0.0000, 0.7526)  4 Th 3.49, 4 Lu 3.52, 4 Ho 3.53



Which structure is most stable? model Q, by 10 meV per atom over the runner-up.



Model P:
Here is HoLu2Ti after structural relaxation from the Alexandria database. Energies are from GGA-PBE.

Symmetry = P4/mmm

a = 4.7311 Å, b = 4.7168 Å, c = 4.7168 Å
α = 90.00°, β = 90.00°, γ = 90.00°
Last column: nearest neighbours and their distance in Å.
Element x y z (fractional)
Lu (0.0000, 0.0000, 0.5000)  4 Lu 3.34, 4 Ho 3.34, 4 Ti 3.34
Ho (0.5000, 0.5000, 0.5000)  4 Ti 3.34, 8 Lu 3.34
Ti (0.5000, 0.0000, 0.0000)  4 Ho 3.34, 8 Lu 3.34
Lu (0.0000, 0.5000, 0.0000)  4 Lu 3.34, 4 Ho 3.34, 4 Ti 3.34



Model Q:
Here is HoLu2Ti after structural relaxation from the Alexandria database. Energies are from GGA-PBE.

Symmetry = P4/mmm

a = 3.3307 Å, b = 3.3307 Å, c = 9.4641 Å
α = 90.00°, β = 90.00°, γ = 90.00°
Last column: nearest neighbours and their distance in Å.
Element x y z (fractional)
Ti (0.5000, 0.5000, 0.0000)  8 Lu 3.14, 4 Ti 3.33
Lu (0.0000, 0.0000, 0.7808)  4 Ti 3.14, 4 Lu 3.33
Lu (0.0000, 0.0000, 0.2192)  4 Ti 3.14, 4 Lu 3.33
Ho (0.5000, 0.5000, 0.5000)  4 Ho 3.33, 8 Lu 3.55



Which structure is most stable? model Q, by 39 meV per atom over the runner-up.



Model P:
Here is HoLuTl after structural relaxation from the Alexandria database. Energies are from GGA-PBE.

Symmetry = F-43m

a = 5.1171 Å, b = 5.1171 Å, c = 5.1171 Å
α = 60.00°, β = 60.00°, γ = 60.00°
Last column: nearest neighbours and their distance in Å.
Element x y z (fractional)
Ho (0.5000, 0.5000, 0.5000)  4 Tl 3.13
Tl (0.2500, 0.2500, 0.2500)  4 Lu 3.13, 4 Ho 3.13
Lu (0.0000, 0.0000, 0.0000)  4 Tl 3.13



Model Q:
Here is HoLuTl after structural relaxation from the Alexandria database. Energies are from GGA-PBE.

Symmetry = I4mm

a = 3.5205 Å, b = 3.5205 Å, c = 7.2370 Å
α = 104.08°, β = 104.08°, γ = 90.00°
Last column: nearest neighbours and their distance in Å.
Element x y z (fractional)
Lu (0.2759, 0.2759, 0.5517)  4 Tl 3.29, 4 Ho 3.49, 4 Lu 3.52
Tl (0.6180, 0.6180, 0.2361)  4 Lu 3.29, 4 Ho 3.32, 4 Tl 3.52
Ho (0.9561, 0.9561, 0.9122)  4 Tl 3.32, 4 Lu 3.49, 4 Ho 3.52



Model R:
Here is HoLuTl after structural relaxation from the Alexandria database. Energies are from GGA-PBE.

Symmetry = P3m1

a = 3.6540 Å, b = 5.2133 Å, c = 5.2133 Å
α = 120.00°, β = 90.00°, γ = 90.00°
Last column: nearest neighbours and their distance in Å.
Element x y z (fractional)
Lu (0.8366, 0.0000, 0.0000)  3 Tl 3.01
Ho (0.3349, 0.3333, 0.6667)  6 Tl 3.51-3.53, 6 Lu 3.52, 2 Ho 3.65
Tl (0.8284, 0.6667, 0.3333)  3 Lu 3.01



Which structure is most stable? model Q, by 98 meV per atom over the runner-up.



Model P:
Here is HoLu2Tl after structural relaxation from the Alexandria database. Energies are from GGA-PBE.

Symmetry = P4/mmm

a = 3.5658 Å, b = 3.5658 Å, c = 8.9408 Å
α = 90.00°, β = 90.00°, γ = 90.00°
Last column: nearest neighbours and their distance in Å.
Element x y z (fractional)
Ho (0.5000, 0.5000, 0.5000)  8 Lu 3.48, 4 Ho 3.57
Lu (0.0000, 0.0000, 0.2313)  4 Tl 3.26, 4 Ho 3.48, 4 Lu 3.57
Lu (0.0000, 0.0000, 0.7687)  4 Tl 3.26, 4 Ho 3.48, 4 Lu 3.57
Tl (0.5000, 0.5000, 0.0000)  8 Lu 3.26, 4 Tl 3.57



Model Q:
Here is HoLu2Tl after structural relaxation from the Alexandria database. Energies are from GGA-PBE.

Symmetry = Fm-3m

a = 5.3888 Å, b = 5.3888 Å, c = 5.3888 Å
α = 60.00°, β = 60.00°, γ = 60.00°
Last column: nearest neighbours and their distance in Å.
Element x y z (fractional)
Ho (0.0000, 0.0000, 0.0000)  8 Lu 3.30
Tl (0.5000, 0.5000, 0.5000)  8 Lu 3.30
Lu (0.7500, 0.7500, 0.7500)  4 Tl 3.30, 4 Ho 3.30
Lu (0.2500, 0.2500, 0.2500)  4 Tl 3.30, 4 Ho 3.30



Model R:
Here is HoLu2Tl after structural relaxation from the Alexandria database. Energies are from GGA-PBE.

Symmetry = R-3m

a = 3.4983 Å, b = 3.4983 Å, c = 11.0528 Å
α = 80.89°, β = 80.89°, γ = 60.00°
Last column: nearest neighbours and their distance in Å.
Element x y z (fractional)
Tl (0.0000, 0.0000, 0.0000)  6 Lu 3.30, 6 Tl 3.50
Ho (0.5000, 0.5000, 0.5000)  6 Lu 3.47, 6 Ho 3.50
Lu (0.7466, 0.7466, 0.7601)  3 Tl 3.30, 3 Ho 3.47, 6 Lu 3.50
Lu (0.2534, 0.2534, 0.2399)  3 Tl 3.30, 3 Ho 3.47, 6 Lu 3.50



Model S:
Here is HoLu2Tl after structural relaxation from the Alexandria database. Energies are from GGA-PBE.

Symmetry = P4/mmm

a = 4.7702 Å, b = 4.7905 Å, c = 4.7905 Å
α = 90.00°, β = 90.00°, γ = 90.00°
Last column: nearest neighbours and their distance in Å.
Element x y z (fractional)
Tl (0.5000, 0.0000, 0.0000)  8 Lu 3.38, 4 Ho 3.39
Lu (0.0000, 0.5000, 0.0000)  4 Ho 3.38, 4 Tl 3.38, 4 Lu 3.39
Ho (0.5000, 0.5000, 0.5000)  8 Lu 3.38, 4 Tl 3.39
Lu (0.0000, 0.0000, 0.5000)  4 Tl 3.38, 4 Ho 3.38, 4 Lu 3.39



Which structure is most stable? model P, by 7 meV per atom over the runner-up.



Model P:
Here is Ho2TmLu after structural relaxation from the Alexandria database. Energies are from GGA-PBE.

Symmetry = P4/mmm

a = 3.4913 Å, b = 3.4913 Å, c = 9.8777 Å
α = 90.00°, β = 90.00°, γ = 90.00°
Last column: nearest neighbours and their distance in Å.
Element x y z (fractional)
Ho (0.0000, 0.0000, 0.7508)  4 Lu 3.49, 4 Ho 3.49, 4 Tm 3.50
Ho (0.0000, 0.0000, 0.2492)  4 Lu 3.49, 4 Ho 3.49, 4 Tm 3.50
Tm (0.5000, 0.5000, 0.5000)  4 Tm 3.49, 8 Ho 3.50
Lu (0.5000, 0.5000, 0.0000)  8 Ho 3.49, 4 Lu 3.49



Model Q:
Here is Ho2TmLu after structural relaxation from the Alexandria database. Energies are from GGA-PBE.

Symmetry = Fm-3m

a = 5.5769 Å, b = 5.5769 Å, c = 5.5769 Å
α = 60.00°, β = 60.00°, γ = 60.00°
Last column: nearest neighbours and their distance in Å.
Element x y z (fractional)
Tm (0.5000, 0.5000, 0.5000)  8 Ho 3.42
Ho (0.2500, 0.2500, 0.2500)  4 Tm 3.42, 4 Lu 3.42
Ho (0.7500, 0.7500, 0.7500)  4 Lu 3.42, 4 Tm 3.42
Lu (0.0000, 0.0000, 0.0000)  8 Ho 3.42



Which structure is most stable? model P, by 106 meV per atom over the runner-up.



Model P:
Here is HoTmLu after structural relaxation from the Alexandria database. Energies are from GGA-PBE.

Symmetry = I4mm

a = 3.4764 Å, b = 3.4764 Å, c = 7.8184 Å
α = 102.85°, β = 102.85°, γ = 90.00°
Last column: nearest neighbours and their distance in Å.
Element x y z (fractional)
Tm (0.3327, 0.3327, 0.6654)  4 Tm 3.48, 4 Lu 3.48, 4 Ho 3.50
Lu (0.6671, 0.6671, 0.3341)  4 Lu 3.48, 4 Tm 3.48, 4 Ho 3.49
Ho (0.0003, 0.0003, 0.0005)  4 Ho 3.48, 4 Lu 3.49, 4 Tm 3.50



Model Q:
Here is HoTmLu after structural relaxation from the Alexandria database. Energies are from GGA-PBE.

Symmetry = P-6m2

a = 3.4163 Å, b = 5.5070 Å, c = 5.5070 Å
α = 120.00°, β = 90.00°, γ = 90.00°
Last column: nearest neighbours and their distance in Å.
Element x y z (fractional)
Tm (0.1664, 0.3333, 0.6667)  3 Lu 3.18, 2 Tm 3.42
Ho (0.6667, 0.6667, 0.3333)  2 Ho 3.42, 6 Tm 3.61, 6 Lu 3.61
Lu (0.1670, 0.0000, 0.0000)  3 Tm 3.18, 2 Lu 3.42



Which structure is most stable? model P, by 57 meV per atom over the runner-up.